The following is a PBE with a Hubbard U calculation of a geometry-optimized Na3Co4O8 structure, from the Alexandria database.

Structure (CIF):
```
data_Na3Co4O8
_symmetry_space_group_name_H-M 'C 1 2/m 1'
_symmetry_Int_Tables_number 12
_cell_length_a 11.222
_cell_length_b 5.753
_cell_length_c 4.968
_cell_angle_alpha 90.00
_cell_angle_beta 107.38
_cell_angle_gamma 90.00
loop_
_symmetry_equiv_pos_as_xyz
'x,y,z'
'-x,-y,-z'
'-x,y,-z'
'x,-y,z'
'x+1/2,y+1/2,z'
'-x+1/2,-y+1/2,-z'
'-x+1/2,y+1/2,-z'
'x+1/2,-y+1/2,z'
loop_
_atom_site_label
_atom_site_type_symbol
_atom_site_fract_x
_atom_site_fract_y
_atom_site_fract_z
Na1 Na 0.000 0.000 0.000
Na2 Na 0.000 0.266 0.500
Co1 Co 0.249 0.500 0.499
Co2 Co 0.250 0.250 0.000
O1 O 0.156 0.000 0.769
O2 O 0.159 0.248 0.276
O3 O 0.160 0.500 0.769
```

## Properties
**Calculated volume**: 10.2 A^3/atom
**Density of states at the Fermi level**: 0.116 states/eV/atom
**Uncorrected energy**: -5.46 eV per atom
**Magnetization**: 2.02 μB per cell